Computed, not measured: a relaxed structure of NaPaAg2Cl8 at the PBE-GGA level of DFT.

Values from the calculation:
Spin magnetization ... 0.00 μB/atom
Formation energy without anion corrections ... -16.23 eV per formula unit
SG ... P-1, No. 2
Theoretical density ... 3.3 Mg/m³
Volume ... 31.78 A^3/atom

a = 6.6586 Å, b = 7.0414 Å, c = 8.6416 Å
α = 74.97°, β = 90.42°, γ = 102.61°
Closest atoms and distances in Å follow each position.
Atoms (fractional coordinates):
Na1 0.0000 0.0000 0.5000  2 Cl 2.68
Pa1 0.0000 0.0000 0.0000  6 Cl 2.54-2.60
Ag1 0.5324 0.3667 0.6749  4 Cl 2.56-2.77
Ag2 0.4676 0.6333 0.3251  4 Cl 2.56-2.77
Cl1 0.1115 0.7748 0.2594  1 Pa 2.60, 1 Ag 2.77
Cl2 0.6422 0.7593 0.0361  1 Pa 2.57, 1 Ag 2.61
Cl3 0.8772 0.2009 0.1710  1 Pa 2.54
Cl4 0.8885 0.2252 0.7406  1 Pa 2.60, 1 Ag 2.77
Cl5 0.3578 0.2407 0.9639  1 Pa 2.57, 1 Ag 2.61
Cl6 0.1228 0.7991 0.8290  1 Pa 2.54
Cl7 0.6243 0.7531 0.5637  2 Ag 2.56-2.57, 1 Na 2.68
Cl8 0.3757 0.2469 0.4363  2 Ag 2.56-2.57, 1 Na 2.68



Computed, not measured: a relaxed structure of NaNb2Se4 at the PBE-GGA level of DFT.

Values from the calculation:
Spin magnetization ... 0.05 μB/atom
Formation energy without anion corrections ... -5.06 eV per formula unit
SG ... Cmcm, No. 63
ΔE to the lowest computed polymorph ... 221 meV/atom
Theoretical density ... 5.5 Mg/m³
Volume ... 22.61 A^3/atom

a = 3.8415 Å, b = 6.5318 Å, c = 13.1989 Å
α = 90.00°, β = 90.00°, γ = 107.10°
Closest atoms and distances in Å follow each position.
Atoms (fractional coordinates):
Na1 0.6257 0.2514 0.7500  6 Se 3.02-3.05
Na2 0.3743 0.7486 0.2500  6 Se 3.02-3.05
Nb1 0.1170 0.2340 0.4352  6 Se 2.53-2.73
Nb2 0.8830 0.7660 0.9352  6 Se 2.53-2.73
Nb3 0.1170 0.2340 0.0648  6 Se 2.53-2.73
Nb4 0.8830 0.7660 0.5648  6 Se 2.53-2.73
Se1 0.7666 0.5332 0.1058  3 Nb 2.68-2.73
Se2 0.7666 0.5332 0.3942  3 Nb 2.68-2.73
Se3 0.2334 0.4668 0.8942  3 Nb 2.68-2.73
Se4 0.2334 0.4668 0.6058  3 Nb 2.68-2.73
Se5 0.9359 0.8717 0.7500  2 Nb 2.53
Se6 0.0641 0.1283 0.2500  2 Nb 2.53
Se7 0.5000 0.0000 0.0000  4 Nb 2.56
Se8 0.5000 0.0000 0.5000  4 Nb 2.56